# FePdF2

FePdF2 after structural relaxation (PBE with a Hubbard U, Alexandria). Values from VASP.

Geometry as Quantum ESPRESSO input:
```
&SYSTEM
  ibrav = 0, nat = 4, ntyp = 3
/
ATOMIC_SPECIES
Fe 55.84 Fe.upf
Pd 106.42 Pd.upf
F 19.00 F.upf
CELL_PARAMETERS angstrom
1.4628 0.8445 8.7407
-1.4628 0.8445 8.7407
0.0000 -1.6891 8.7407
ATOMIC_POSITIONS crystal
Fe 0.0000 0.0000 0.0000
Pd 0.5000 0.5000 0.5000
F 0.3784 0.3784 0.3784
F 0.6216 0.6216 0.6216
```

The density of states at the Fermi level comes out at 3.990 states/eV per cell. The energy relative to the lowest polymorph listed for this composition is 0.0000 eV/atom. The value obtained for the energy is -0.348 Ry per atom.